Entry 1:
VASP calculation (PBE) on Pr5GaSn2 after structural relaxation.

## Properties
E above lowest polymorph (eV/f.u.): 1.01
Crystal system: tetragonal
Volume (Å³ per cell): 236.2
Symmetry: I4/mmm
M_tot (μB/f.u.): 0.00
ΔH_f (0 K) (meV/atom): -464

Cell and atoms, written as POSCAR:
```
Pr5GaSn2
1.0
-3.548 3.548 4.691
3.548 -3.548 4.691
3.548 3.548 -4.691
Pr Ga Sn
5 1 2
Direct
0.000 0.000 0.000
0.000 0.000 0.500
0.000 0.500 0.000
0.500 0.000 0.000
0.500 0.500 0.500
0.500 0.500 0.000
0.000 0.500 0.500
0.500 0.000 0.500
```


Entry 2:
VASP calculation (PBE) on TmNi3Ge3 after structural relaxation.

## Properties
E above lowest polymorph (eV/f.u.): 2.12
Crystal system: cubic
Volume (Å³ per cell): 260.7
Symmetry: Pm-3n
M_tot (μB/f.u.): 0.00
ΔH_f (0 K) (meV/atom): -72

Cell and atoms, written as POSCAR:
```
TmNi3Ge3
1.0
6.388 0.000 0.000
0.000 6.388 0.000
0.000 0.000 6.388
Tm Ni Ge
2 6 6
Direct
0.000 0.000 0.000
0.500 0.500 0.500
0.000 0.250 0.500
0.000 0.750 0.500
0.250 0.500 0.000
0.500 0.000 0.250
0.500 0.000 0.750
0.750 0.500 0.000
0.000 0.500 0.250
0.000 0.500 0.750
0.250 0.000 0.500
0.500 0.250 0.000
0.500 0.750 0.000
0.750 0.000 0.500
```


Entry 3:
VASP calculation (PBE) on LiSbIr2Br after structural relaxation.

## Properties
Crystal system: tetragonal
Volume (Å³ per cell): 99.0
Formation energy (no corrections) (eV per atom): 0.83
Symmetry: P4/mmm
M_tot (μB/f.u.): 0.00

Cell and atoms, written as POSCAR:
```
LiSbIr2Br
1.0
4.810 0.000 0.000
0.000 4.810 0.000
0.000 0.000 4.279
Li Sb Ir Br
1 1 2 1
Direct
0.000 0.000 0.000
0.500 0.500 0.000
0.000 0.500 0.500
0.500 0.000 0.500
0.000 0.000 0.500
```